Below is an optimized crystal structure of Ce2NiTe, with properties calculated at the GGA-PBE level.

Geometry as extended XYZ:
```
4
Lattice="2.060 1.189 7.414 -2.060 1.189 7.414 0.000 -2.378 7.414" Properties=species:S:1:pos:R:3 pbc="T T T"
Ce 0.000 0.000 5.239
Ce 0.000 0.000 17.002
Ni 0.000 0.000 11.121
Te 0.000 0.000 0.000
```

Final energy   -5.907 eV/atom
M_tot   1.87 μB/f.u.
Symmetry   No. 166
Raw formation energy   -2.8 eV per formula unit